Record 1
{"formula": "LiTc2Rh", "functional": "GGA-PBE", "state": "relaxed", "n_ef_per_ev_atom": 0.82, "polymorph_energy_mev_per_atom": 184, "crystal_system": "tetragonal", "cell": [[-1.0787, -1.6221, 1.7479], [-1.0142, -1.4242, -1.9476], [6.9544, -4.7691, -0.1338]], "species": ["Li", "Tc", "Tc", "Rh"], "fractional_positions": [[0.5000, 0.5000, 0.2500], [0.0000, 0.0000, 0.5100], [0.0000, 0.0000, 0.9900], [0.5000, 0.5000, 0.7500]]}



Record 2
{"formula": "LiTcRh2", "functional": "GGA-PBE", "state": "relaxed", "n_ef_per_ev_atom": 1.29, "polymorph_energy_mev_per_atom": 141, "crystal_system": "monoclinic", "cell": [[-1.3088, 4.2585, -1.0118], [-1.0053, 2.9704, -3.3224], [-4.6862, -0.8717, -0.1297]], "species": ["Rh", "Rh", "Tc", "Li"], "fractional_positions": [[0.9989, 0.9989, 0.9992], [0.5011, 0.5011, 0.5008], [0.2500, 0.2500, 0.2500], [0.7500, 0.7500, 0.7500]]}



Record 3
{"formula": "Li2TcRh", "functional": "GGA-PBE", "state": "relaxed", "n_ef_per_ev_atom": 0.94, "polymorph_energy_mev_per_atom": 58, "crystal_system": "orthorhombic", "cell": [[2.7146, 0.0000, 0.0000], [0.0000, 4.4630, 0.0000], [0.0000, 0.0000, 4.6182]], "species": ["Rh", "Li", "Li", "Tc"], "fractional_positions": [[0.5000, 0.0000, 0.5000], [0.0000, 0.0000, 0.0000], [0.5000, 0.5000, 0.0000], [0.0000, 0.5000, 0.5000]]}



Record 4
{"formula": "Li2TcRh", "functional": "GGA-PBE", "state": "relaxed", "n_ef_per_ev_atom": 1.30, "polymorph_energy_mev_per_atom": 46, "crystal_system": "trigonal", "cell": [[-9.1138, 1.7241, -0.1383], [-8.7913, 1.4394, 2.5875], [-8.3117, 3.8782, 1.3887]], "species": ["Rh", "Li", "Li", "Tc"], "fractional_positions": [[0.4973, 0.4973, 0.4973], [0.2435, 0.2435, 0.2435], [0.0039, 0.0039, 0.0039], [0.7553, 0.7553, 0.7553]]}



Record 5
{"formula": "Li2TcRh", "functional": "GGA-PBE", "state": "relaxed", "n_ef_per_ev_atom": 0.98, "polymorph_energy_mev_per_atom": 188, "crystal_system": "tetragonal", "cell": [[-1.3719, -3.3966, -3.5466], [1.2702, -4.9151, 0.4753], [-2.0984, 3.7210, 2.7835]], "species": ["Li", "Li", "Tc", "Rh"], "fractional_positions": [[0.5000, 0.5000, 0.0000], [0.0000, 0.0000, 0.0000], [0.7500, 0.2500, 0.5000], [0.2500, 0.7500, 0.5000]]}



Record 6
{"formula": "LiTc2Rh2", "functional": "GGA-PBE", "state": "relaxed", "n_ef_per_ev_atom": 0.76, "polymorph_energy_mev_per_atom": 0, "crystal_system": "tetragonal", "cell": [[7.6214, 0.0000, 0.0000], [0.0000, 7.6214, 0.0000], [0.0000, 0.0000, 2.6928]], "species": ["Rh", "Rh", "Rh", "Rh", "Li", "Li", "Tc", "Tc", "Tc", "Tc"], "fractional_positions": [[0.8280, 0.3280, 0.5000], [0.3280, 0.1720, 0.5000], [0.1720, 0.6720, 0.5000], [0.6720, 0.8280, 0.5000], [0.0000, 0.0000, 0.0000], [0.5000, 0.5000, 0.0000], [0.3806, 0.8806, 0.0000], [0.6194, 0.1194, 0.0000], [0.8806, 0.6194, 0.0000], [0.1194, 0.3806, 0.0000]]}



Record 7
{"formula": "LiTc2Rh2", "functional": "GGA-PBE", "state": "relaxed", "n_ef_per_ev_atom": 1.05, "polymorph_energy_mev_per_atom": 339, "crystal_system": "tetragonal", "cell": [[-2.2537, -0.5200, -3.1823], [-3.0347, -0.9704, 2.3077], [-4.1574, 4.4981, -0.2224]], "species": ["Rh", "Rh", "Tc", "Tc", "Li"], "fractional_positions": [[0.7500, 0.2500, 0.5000], [0.2500, 0.7500, 0.5000], [0.5997, 0.5997, 0.8007], [0.4003, 0.4003, 0.1993], [0.0000, 0.0000, 0.0000]]}



Record 8
{"formula": "Li2TcRh", "functional": "GGA-PBE", "state": "relaxed", "n_ef_per_ev_atom": 0.89, "polymorph_energy_mev_per_atom": 571, "crystal_system": "tetragonal", "cell": [[-1.3348, -3.0901, 5.8206], [3.8740, -5.1722, -1.8574], [3.2088, -3.0454, 3.0027]], "species": ["Rh", "Rh", "Tc", "Tc", "Li", "Li", "Li", "Li"], "fractional_positions": [[0.7500, 0.2500, 0.5000], [0.0000, 0.0000, 0.0000], [0.5000, 0.5000, 0.0000], [0.2500, 0.7500, 0.5000], [0.6338, 0.1250, 0.2500], [0.1162, 0.6250, 0.2500], [0.3750, 0.3662, 0.7500], [0.8750, 0.8838, 0.7500]]}



Record 9
{"formula": "LiTc2Rh", "functional": "GGA-PBE", "state": "relaxed", "n_ef_per_ev_atom": 0.77, "polymorph_energy_mev_per_atom": 32, "crystal_system": "cubic", "cell": [[-3.9678, 1.5214, -0.3777], [-3.2319, -1.9546, 1.9837], [-1.8961, 1.8648, 3.3359]], "species": ["Li", "Tc", "Tc", "Rh"], "fractional_positions": [[0.5000, 0.5000, 0.5000], [0.0000, 0.0000, 0.0000], [0.2500, 0.2500, 0.2500], [0.7500, 0.7500, 0.7500]]}



Record 10
{"formula": "Li2TcRh", "functional": "GGA-PBE", "state": "relaxed", "n_ef_per_ev_atom": 0.76, "polymorph_energy_mev_per_atom": 146, "crystal_system": "orthorhombic", "cell": [[-1.1963, 1.7722, 4.3471], [3.0956, -1.0939, 3.5623], [-0.5528, 2.2213, -4.2695]], "species": ["Tc", "Li", "Li", "Rh"], "fractional_positions": [[0.2475, 0.7475, 0.5000], [0.7596, 0.2596, 0.5000], [0.9849, 0.9849, 0.0000], [0.5081, 0.5081, 0.0000]]}



Record 11
{"formula": "LiTc2Rh", "functional": "GGA-PBE", "state": "relaxed", "n_ef_per_ev_atom": 0.78, "polymorph_energy_mev_per_atom": 50, "crystal_system": "monoclinic", "cell": [[4.8782, 0.0045, 0.0020], [4.1209, 2.6106, 0.0020], [0.7718, 0.2243, 4.4295]], "species": ["Tc", "Tc", "Rh", "Li"], "fractional_positions": [[0.4866, 0.4866, 0.5048], [0.0134, 0.0134, 0.9952], [0.7500, 0.7500, 0.7500], [0.2500, 0.2500, 0.2500]]}



Record 12
{"formula": "Li2TcRh", "functional": "GGA-PBE", "state": "relaxed", "n_ef_per_ev_atom": 1.05, "polymorph_energy_mev_per_atom": 99, "crystal_system": "tetragonal", "cell": [[2.5298, 0.0000, 0.0000], [0.0000, 2.5298, 0.0000], [0.0000, 0.0000, 8.6919]], "species": ["Rh", "Li", "Li", "Tc"], "fractional_positions": [[0.5000, 0.5000, 0.2500], [0.0000, 0.0000, 0.4888], [0.0000, 0.0000, 0.0112], [0.5000, 0.5000, 0.7500]]}